(1)
Density functional theory data (PBE-GGA) for an optimized crystal structure of KCrSe3.

Calculated values
ρ   4.6 g/cm³
Energy above the most stable polymorph in this dataset   0.317 eV/atom
Total energy   -22.60 eV/f.u.

Cell lengths 4.895, 4.895, 4.895 Å; angles 90.00, 90.00, 90.00 degrees
Space group Pm-3m (No. 221)
One atom of each set of equivalent atoms:
K  0.000  0.000  0.000
Cr  0.500  0.500  0.500
Se  0.000  0.500  0.500

(2)
Density functional theory data (PBE-GGA) for an optimized crystal structure of Ce2HoIn.

Calculated values
ρ   8.6 g/cm³
Energy above the most stable polymorph in this dataset   0.000 eV/atom
ΔE_f   -0.25 eV per atom
Total energy   -20.17 eV/f.u.

Cell lengths 6.550, 5.255, 7.099 Å; angles 90.00, 117.40, 90.00 degrees
Space group P2_1/m (No. 11)
One atom of each set of equivalent atoms:
Ce  0.167  0.250  0.387
Ce  0.279  0.750  0.613
Ho  0.315  0.750  0.129
In  0.180  0.250  0.861

(3)
Density functional theory data (PBE-GGA) for an optimized crystal structure of Ac3Re5As12.

Calculated values
ρ   8.2 g/cm³
ΔE_f   -0.09 eV per atom
Total energy   -132.10 eV/f.u.

Cell lengths 15.986, 15.986, 15.986 Å; angles 90.00, 90.00, 90.00 degrees
Space group Ia-3d (No. 230)
One atom of each set of equivalent atoms:
Ac  0.000  0.250  0.125
Re  0.000  0.000  0.000
Re  0.000  0.250  0.375
As  0.043  0.054  0.641

(4)
Density functional theory data (PBE-GGA) for an optimized crystal structure of SiH2Cl6.

Calculated values
ρ   1.4 g/cm³
Total energy   -31.52 eV/f.u.

Cell lengths 13.374, 16.829, 5.562 Å; angles 90.00, 113.79, 90.00 degrees
Space group C2/c (No. 15)
One atom of each set of equivalent atoms:
Si  0.000  0.181  0.250
H  0.153  0.482  0.266
Cl  0.095  0.111  0.129
Cl  0.098  0.251  0.552
Cl  0.153  0.434  0.082

(5)
Density functional theory data (PBE-GGA) for an optimized crystal structure of TlAgSb.

Calculated values
ρ   8.8 g/cm³
Energy above the most stable polymorph in this dataset   0.000 eV/atom
Total energy   -9.27 eV/f.u.

Cell lengths 4.776, 8.215, 8.377 Å; angles 90.00, 90.00, 90.00 degrees
Space group Imm2 (No. 44)
One atom of each set of equivalent atoms:
Tl  0.000  0.000  0.000
Tl  0.000  0.500  0.131
Ag  0.000  0.306  0.713
Sb  0.000  0.180  0.395

(6)
Density functional theory data (PBE-GGA) for an optimized crystal structure of ZnGa4Rh5.

Calculated values
ρ   10.2 g/cm³
ΔE_f   -0.67 eV per atom
Total energy   -56.83 eV/f.u.

Cell lengths 3.029, 3.029, 15.176 Å; angles 90.00, 90.00, 90.00 degrees
Space group P4/mmm (No. 123)
One atom of each set of equivalent atoms:
Zn  0.000  0.000  0.000
Ga  0.000  0.000  0.196
Ga  0.000  0.000  0.399
Rh  0.500  0.500  0.103
Rh  0.500  0.500  0.301
Rh  0.500  0.500  0.500

(7)
Density functional theory data (PBE-GGA) for an optimized crystal structure of Li6CdAg.

Calculated values
ρ   3.1 g/cm³
ΔE_f   -0.15 eV per atom
Total energy   -16.44 eV/f.u.

Cell lengths 4.817, 5.881, 10.025 Å; angles 90.00, 90.00, 90.00 degrees
Space group Amm2 (No. 38)
One atom of each set of equivalent atoms:
Li  0.000  0.000  0.000
Li  0.000  0.242  0.242
Li  0.500  0.000  0.663
Li  0.500  0.246  0.417
Cd  0.000  0.000  0.494
Ag  0.500  0.000  0.166

(8)
Density functional theory data (PBE-GGA) for an optimized crystal structure of ScTcMo4.

Calculated values
ρ   8.5 g/cm³
Energy above the most stable polymorph in this dataset   0.214 eV/atom
ΔE_f   0.16 eV per atom
Total energy   -59.05 eV/f.u.

Cell lengths 7.427, 7.427, 7.427 Å; angles 90.00, 90.00, 90.00 degrees
Space group F-43m (No. 216)
One atom of each set of equivalent atoms:
Sc  0.000  0.000  0.000
Tc  0.250  0.250  0.750
Mo  0.125  0.125  0.375

Q: Number 1 is which compound?
A: KCrSe3

Copy entry 2 word for word.
Density functional theory data (PBE-GGA) for an optimized crystal structure of Ce2HoIn.

Calculated values
ρ   8.6 g/cm³
Energy above the most stable polymorph in this dataset   0.000 eV/atom
ΔE_f   -0.25 eV per atom
Total energy   -20.17 eV/f.u.

Cell lengths 6.550, 5.255, 7.099 Å; angles 90.00, 117.40, 90.00 degrees
Space group P2_1/m (No. 11)
One atom of each set of equivalent atoms:
Ce  0.167  0.250  0.387
Ce  0.279  0.750  0.613
Ho  0.315  0.750  0.129
In  0.180  0.250  0.861